# 1
A plane-wave DFT calculation with PBE was carried out for Ag2Se after structural relaxation.

Values from the calculation:
ρ ... 7.5 g cm⁻³
Energy ... -37.35 eV/cell

Unit cell a=4.6856 b=4.6856 c=11.8541 alpha=90.00 beta=90.00 gamma=90.00
Atoms (fractional coordinates):
Ag 0.9471 0.6002 0.0819
Ag 0.4471 0.8998 0.1681
Ag 0.1002 0.5529 0.3319
Ag 0.3998 0.0529 0.4181
Ag 0.0529 0.3998 0.5819
Ag 0.5529 0.1002 0.6681
Ag 0.8998 0.4471 0.8319
Ag 0.6002 0.9471 0.9181
Se 0.0975 0.0975 0.0000
Se 0.5975 0.4025 0.2500
Se 0.9025 0.9025 0.5000
Se 0.4025 0.5975 0.7500

# 2
A plane-wave DFT calculation with PBE was carried out for HoAgSnSe3 after structural relaxation.

Values from the calculation:
ρ ... 7.1 g cm⁻³
Energy ... -54.42 eV/cell

Unit cell a=4.0848 b=10.6192 c=7.1171 alpha=90.00 beta=106.68 gamma=90.00
Atoms (fractional coordinates):
Ag 0.5319 0.0000 0.0638
Ag 0.4681 0.5000 0.9362
Ho 0.0000 0.2500 0.0000
Ho 0.0000 0.7500 0.0000
Se 0.0946 0.5000 0.1893
Se 0.6450 0.1983 0.2899
Se 0.6450 0.8017 0.2899
Se 0.3550 0.3017 0.7101
Se 0.3550 0.6983 0.7101
Se 0.9054 0.0000 0.8107
Sn 0.2401 0.0000 0.4802
Sn 0.7599 0.5000 0.5198